[1]
Compound: HfI2Br
Source: Alexandria via LeMat-Bulk
Functional: SCAN
Structure: PBEsol geometry

```
4
Lattice="-2.332 3.756 2.722 -0.240 -0.313 5.177 2.829 3.221 2.930" Properties=species:S:1:pos:R:3 pbc="T T T"
I 0.064 1.666 2.707
I 0.192 4.998 8.122
Hf 0.128 3.332 5.415
Br 0.000 0.000 0.000
```

[2]
Compound: HfSe2IBr
Source: Alexandria via LeMat-Bulk
Functional: SCAN
Structure: PBEsol geometry

```
5
Lattice="5.153 0.000 0.000 0.000 5.153 0.000 0.000 0.000 5.176" Properties=species:S:1:pos:R:3 pbc="T T T"
I 2.576 2.576 2.588
Hf 0.000 0.000 0.000
Se 0.000 2.576 0.000
Se 2.576 0.000 0.000
Br 0.000 0.000 2.588
```

[3]
Compound: HfSiI2Br
Source: Alexandria via LeMat-Bulk
Functional: SCAN
Structure: PBEsol geometry

```
5
Lattice="-5.054 0.863 -1.099 -1.393 -2.356 4.555 0.255 4.682 2.500" Properties=species:S:1:pos:R:3 pbc="T T T"
I 0.128 2.341 1.250
I -0.696 -1.178 2.277
Si 0.000 0.000 0.000
Hf -2.527 0.431 -0.550
Br -3.096 1.594 2.978
```

[4]
Compound: Hf2NbInBr
Source: Alexandria via LeMat-Bulk
Functional: SCAN
Structure: PBEsol geometry

```
5
Lattice="5.073 0.000 0.000 0.000 5.210 0.000 0.000 0.000 5.210" Properties=species:S:1:pos:R:3 pbc="T T T"
Nb 2.536 0.000 0.000
Hf 0.000 0.000 2.605
Hf 0.000 2.605 0.000
Br 2.536 2.605 2.605
In 0.000 0.000 0.000
```

[5]
Compound: HfTlInBr2
Source: Alexandria via LeMat-Bulk
Functional: SCAN
Structure: PBEsol geometry

```
5
Lattice="-1.719 -4.790 1.950 4.535 -0.408 2.995 -2.618 2.703 4.332" Properties=species:S:1:pos:R:3 pbc="T T T"
Tl 0.099 -1.248 4.639
Hf -1.309 1.351 2.166
Br 2.267 -0.204 1.498
Br -0.859 -2.395 0.975
In 0.000 0.000 0.000
```

[6]
Compound: HfIrRuBr2
Source: Alexandria via LeMat-Bulk
Functional: SCAN
Structure: PBEsol geometry

```
5
Lattice="-0.303 2.900 3.900 -2.537 -3.427 2.351 4.271 -1.943 1.777" Properties=species:S:1:pos:R:3 pbc="T T T"
Ru 0.715 -1.235 4.014
Ir 0.000 0.000 0.000
Hf 2.135 -0.972 0.888
Br -1.269 -1.714 1.176
Br -0.151 1.450 1.950
```

| no. | raw formation energy (kcal/mol of atoms) |
| --- | --- |
| 1 | -0.32 |
| 2 | -12.02 |
| 3 | 11.21 |
| 4 | 35.60 |
| 5 | 10.25 |
| 6 | 28.12 |